Entry 1:
Here is an optimized crystal structure of DyY9Ho2 from Alexandria. Energies are from PBE.

Values from the calculation:
energy of formation: 0.025 eV per atom
total magnetization: 0.000 μB/atom
DOS(E_F): 1.50 states/eV/atom

abc: 5.038 5.038 15.111
angles: 90.00 90.00 90.00
Space group P4/mmm (No. 123)
Asymmetric unit:
Dy 0.000 0.000 0.000
Y 0.000 0.500 0.167
Y 0.000 0.500 0.500
Y 0.500 0.500 0.000
Y 0.500 0.500 0.334
Ho 0.000 0.000 0.333

Entry 2:
Here is an optimized crystal structure of DyY5Ho6 from Alexandria. Energies are from PBE.

Values from the calculation:
energy of formation: 0.023 eV per atom
total magnetization: 0.000 μB/atom
DOS(E_F): 1.44 states/eV/atom

abc: 6.143 10.627 11.752
angles: 90.00 99.98 90.00
Space group C2/m (No. 12)
Asymmetric unit:
Dy 0.000 0.000 0.000
Y 0.000 0.167 0.500
Y 0.000 0.333 0.000
Y 0.000 0.500 0.500
Ho 0.249 0.166 0.250
Ho 0.250 0.000 0.750

Entry 3:
Here is an optimized crystal structure of Dy3Y6Ho from Alexandria. Energies are from PBE.

Values from the calculation:
energy of formation: 0.116 eV per atom
total magnetization: 0.000 μB/atom
DOS(E_F): 1.64 states/eV/atom

abc: 9.634 20.978 6.384
angles: 90.00 90.00 90.00
Space group Cmc2_1 (No. 36)
Asymmetric unit:
Dy 0.000 0.081 0.000
Dy 0.168 0.373 0.395
Y 0.000 0.199 0.695
Y 0.000 0.485 0.725
Y 0.177 0.219 0.234
Y 0.182 0.060 0.475
Ho 0.000 0.339 0.923

Entry 4:
Here is an optimized crystal structure of Dy5YHo5 from Alexandria. Energies are from PBE.

Values from the calculation:
energy of formation: 0.324 eV per atom
total magnetization: 0.000 μB/atom
DOS(E_F): 1.88 states/eV/atom

abc: 6.0379 6.0379 11.5119
angles: 90.00 90.00 120.00
Space group P-6m2 (No. 187)
Asymmetric unit:
Dy 0.0000 0.0000 0.0000
Dy 0.3333 0.6667 0.3187
Dy 0.6667 0.3333 0.1564
Y 0.3333 0.6667 0.0000
Ho 0.0000 0.0000 0.2645
Ho 0.3354 0.1677 0.5000

Entry 5:
Here is an optimized crystal structure of Dy3YHo7 from Alexandria. Energies are from PBE.

Values from the calculation:
energy of formation: 0.149 eV per atom
total magnetization: 0.000 μB/atom
DOS(E_F): 1.66 states/eV/atom

abc: 6.947 5.495 9.846
angles: 90.00 110.18 90.00
Space group P2/m (No. 10)
Asymmetric unit:
Dy 0.000 0.000 0.000
Dy 0.220 0.500 0.502
Y 0.500 0.000 0.000
Ho 0.081 0.000 0.669
Ho 0.179 0.500 0.859
Ho 0.353 0.500 0.210
Ho 0.500 0.000 0.500

Entry 6:
Here is an optimized crystal structure of Dy7YHo3 from Alexandria. Energies are from PBE.

Values from the calculation:
energy of formation: 0.143 eV per atom
total magnetization: 0.000 μB/atom
DOS(E_F): 1.59 states/eV/atom

abc: 6.970 5.509 9.840
angles: 90.00 110.22 90.00
Space group P2/m (No. 10)
Asymmetric unit:
Dy 0.000 0.000 0.000
Dy 0.148 0.500 0.291
Dy 0.321 0.500 0.642
Dy 0.420 0.000 0.831
Y 0.000 0.000 0.500
Ho 0.279 0.500 0.998
Ho 0.500 0.000 0.500

Entry 7:
Here is an optimized crystal structure of Dy3Y3Ho8 from Alexandria. Energies are from PBE.

Values from the calculation:
energy of formation: 0.109 eV per atom
total magnetization: 0.000 μB/atom
DOS(E_F): 1.48 states/eV/atom

abc: 5.585 10.745 14.860
angles: 90.00 90.00 90.00
Space group Immm (No. 71)
Asymmetric unit:
Dy 0.000 0.000 0.000
Dy 0.000 0.295 0.000
Y 0.000 0.000 0.500
Y 0.000 0.500 0.181
Ho 0.000 0.159 0.222
Ho 0.000 0.341 0.396

Entry 8:
Here is an optimized crystal structure of DyY5Ho3 from Alexandria. Energies are from PBE.

Values from the calculation:
energy of formation: 0.057 eV per atom
total magnetization: 0.000 μB/atom
DOS(E_F): 1.46 states/eV/atom

abc: 9.7097 9.7097 7.0186
angles: 90.00 90.00 120.00
Space group P6_3/mcm (No. 193)
Asymmetric unit:
Dy 0.0000 0.0000 0.0000
Y 0.0000 0.3078 0.2500
Y 0.3333 0.6667 0.0000
Ho 0.0000 0.3578 0.7500

Entry 9:
Here is an optimized crystal structure of DyY8Ho6 from Alexandria. Energies are from PBE.

Values from the calculation:
energy of formation: 0.132 eV per atom
total magnetization: 0.000 μB/atom
DOS(E_F): 1.59 states/eV/atom

abc: 9.0272 9.0272 20.6233
angles: 90.00 90.00 120.00
Space group R-3 (No. 148, hexagonal axes)
Asymmetric unit:
Dy 0.0000 0.0000 0.0000
Y 0.0000 0.0000 0.4232
Y 0.0819 0.5529 0.8084
Ho 0.0662 0.2481 0.7071

Entry 10:
Here is an optimized crystal structure of DyY2Ho6 from Alexandria. Energies are from PBE.

Values from the calculation:
energy of formation: 0.021 eV per atom
total magnetization: 0.000 μB/atom
DOS(E_F): 1.41 states/eV/atom

abc: 3.540 8.653 9.355
angles: 89.98 79.16 89.94
Space group P-1 (No. 2)
Asymmetric unit:
Dy 0.000 0.000 0.000
Y 0.444 0.334 0.111
Ho 0.113 0.332 0.776
Ho 0.223 0.666 0.554
Ho 0.333 0.000 0.334

Entry 11:
Here is an optimized crystal structure of DyY3Ho4 from Alexandria. Energies are from PBE.

Values from the calculation:
energy of formation: 0.002 eV per atom
total magnetization: 0.000 μB/atom
DOS(E_F): 1.71 states/eV/atom

abc: 11.219 7.261 6.274
angles: 90.00 90.00 90.00
Space group Pmn2_1 (No. 31)
Asymmetric unit:
Dy 0.000 0.127 0.000
Y 0.000 0.874 0.500
Y 0.250 0.126 0.336
Ho 0.000 0.376 0.503
Ho 0.000 0.623 0.003
Ho 0.250 0.376 0.834

Entry 12:
Here is an optimized crystal structure of Dy4Y6Ho19 from Alexandria. Energies are from PBE.

Values from the calculation:
energy of formation: 0.389 eV per atom
total magnetization: 0.003 μB/atom
DOS(E_F): 1.56 states/eV/atom

abc: 12.403 12.403 12.403
angles: 90.00 90.00 90.00
Space group I23 (No. 197)
Asymmetric unit:
Dy 0.179 0.179 0.821
Y 0.000 0.371 0.500
Ho 0.000 0.000 0.000
Ho 0.000 0.000 0.260
Ho 0.064 0.259 0.277